Dy8Ho6Sc, relaxed, DFT PBE-GGA; N(E_F) = 1.605 states/eV/atom; magnetization = 0.00 μB/atom; excess energy over the best structure of this formula in the dataset = 0.024 eV per atom; energy relative to the elements = 0.15 eV/atom; volume = 31.43 Å³/atom; crystal system = trigonal; final energy = -4.56 eV/atom
1.0
5.7120 0.0000 0.0000
0.0000 8.4542 -4.8810
0.0000 0.0000 9.7621
Dy Ho Sc
8 6 1
Cartesian
4.3765 0.4342 2.3953
4.3765 6.1627 4.0594
4.3765 1.8573 8.1884
1.3355 8.0200 2.4857
1.3355 2.2915 0.8217
1.3355 6.5969 -3.3074
4.3679 2.8181 4.8810
1.3441 5.6361 0.0000
4.2411 5.2515 -2.1357
4.2411 7.6780 0.7347
4.2411 3.9789 1.4009
1.4709 3.2027 7.0167
1.4709 0.7762 4.1463
1.4709 4.4753 3.4801
2.8560 0.0000 0.0000